1.
This record from Alexandria describes ZrZnIn2 after structural relaxation. The functional is PBEsol.

Calculated values
- crystal system = cubic
- formation energy from the elements (eV per atom) = 0.1308
- space-group type = No. 216
- Fermi-level density of states (states/eV/cell) = 3.434

Lattice parameters (Å, degrees): 4.8819 4.8819 4.8819 60.00 60.00 60.00
With the nearest neighbours (Å) after each atom.
Sites, in units of the cell vectors:
In: 0.0000 0.0000 0.0000  4 Zr 2.99, 4 In 2.99
In: 0.7500 0.7500 0.7500  4 In 2.99, 4 Zn 2.99
Zr: 0.2500 0.2500 0.2500  4 In 2.99, 4 Zn 2.99
Zn: 0.5000 0.5000 0.5000  4 Zr 2.99, 4 In 2.99

---

2.
This record from Alexandria describes LaCoS2 after structural relaxation. The functional is PBEsol.

Calculated values
- crystal system = trigonal
- space-group type = No. 166
- Fermi-level density of states (states/eV/cell) = 2.262
- formation energy (no corrections) (eV/f.u.) = -2.1

Lattice parameters (Å, degrees): 3.4719 3.4719 7.9724 77.42 77.42 60.00
With the nearest neighbours (Å) after each atom.
Sites, in units of the cell vectors:
La: 0.0000 0.0000 0.0000  2 S 2.80
S: 0.8791 0.8791 0.3627  3 Co 2.27
S: 0.1209 0.1209 0.6373  3 Co 2.27
Co: 0.5000 0.5000 0.5000  6 S 2.27